## w
# CoSb2WI

A relaxed CoSb2WI crystal (GGA-PBE, Alexandria via LeMat-Bulk).

Unit cell a=5.180 b=5.180 c=5.765 alpha=90.00 beta=90.00 gamma=90.00
Positions (direct):
Co 0.000 0.000 0.000
Sb 0.000 0.500 0.500
Sb 0.500 0.000 0.500
W 0.500 0.500 0.500
I 0.500 0.500 0.000



## x
# CoSb2WI

A relaxed CoSb2WI crystal (GGA-PBE, Alexandria via LeMat-Bulk).

Unit cell a=4.830 b=4.830 c=5.221 alpha=90.00 beta=90.00 gamma=90.00
Positions (direct):
Co 0.000 0.000 0.000
Sb 0.000 0.500 0.000
Sb 0.500 0.000 0.000
W 0.500 0.500 0.500
I 0.000 0.000 0.500



Short version: w is the most stable of them.



## w
# YCoSbI2

A relaxed YCoSbI2 crystal (GGA-PBE, Alexandria via LeMat-Bulk).

Unit cell a=5.113 b=5.113 c=5.283 alpha=90.00 beta=90.00 gamma=90.00
Positions (direct):
Y 0.000 0.000 0.000
Co 0.500 0.500 0.500
Sb 0.500 0.500 0.000
I 0.000 0.500 0.500
I 0.500 0.000 0.500



## x
# YCoSbI2

A relaxed YCoSbI2 crystal (GGA-PBE, Alexandria via LeMat-Bulk).

Unit cell a=5.884 b=5.884 c=6.214 alpha=90.00 beta=90.00 gamma=90.00
Positions (direct):
Y 0.000 0.000 0.000
Co 0.500 0.500 0.500
Sb 0.000 0.000 0.500
I 0.000 0.500 0.000
I 0.500 0.000 0.000



Short version: w is the most stable of them.



## w
# YCoSb2I

A relaxed YCoSb2I crystal (GGA-PBE, Alexandria via LeMat-Bulk).

Unit cell a=4.940 b=4.940 c=5.471 alpha=90.00 beta=90.00 gamma=90.00
Positions (direct):
Y 0.000 0.000 0.000
Co 0.500 0.500 0.500
Sb 0.000 0.500 0.500
Sb 0.500 0.000 0.500
I 0.500 0.500 0.000



## x
# YCoSb2I

A relaxed YCoSb2I crystal (GGA-PBE, Alexandria via LeMat-Bulk).

Unit cell a=5.877 b=5.877 c=5.832 alpha=90.00 beta=90.00 gamma=90.00
Positions (direct):
Y 0.000 0.000 0.000
Co 0.500 0.500 0.500
Sb 0.000 0.500 0.000
Sb 0.500 0.000 0.000
I 0.000 0.000 0.500



Short version: w is the most stable of them.



## w
# ZnCoSbI2

A relaxed ZnCoSbI2 crystal (GGA-PBE, Alexandria via LeMat-Bulk).

Unit cell a=5.466 b=5.466 c=4.800 alpha=90.00 beta=90.00 gamma=90.00
Positions (direct):
Zn 0.000 0.000 0.000
Co 0.500 0.500 0.500
Sb 0.500 0.500 0.000
I 0.000 0.500 0.500
I 0.500 0.000 0.500



## x
# ZnCoSbI2

A relaxed ZnCoSbI2 crystal (GGA-PBE, Alexandria via LeMat-Bulk).

Unit cell a=5.543 b=5.543 c=5.316 alpha=90.00 beta=90.00 gamma=90.00
Positions (direct):
Zn 0.000 0.000 0.000
Co 0.500 0.500 0.500
Sb 0.000 0.000 0.500
I 0.000 0.500 0.000
I 0.500 0.000 0.000



Short version: w is the most stable of them.



## w
# ZrCoSb2I

A relaxed ZrCoSb2I crystal (GGA-PBE, Alexandria via LeMat-Bulk).

Unit cell a=5.590 b=5.590 c=5.651 alpha=90.00 beta=90.00 gamma=90.00
Positions (direct):
Zr 0.000 0.000 0.000
Co 0.500 0.500 0.500
Sb 0.000 0.500 0.000
Sb 0.500 0.000 0.000
I 0.000 0.000 0.500



## x
# ZrCoSb2I

A relaxed ZrCoSb2I crystal (GGA-PBE, Alexandria via LeMat-Bulk).

Unit cell a=4.902 b=4.902 c=5.213 alpha=90.00 beta=90.00 gamma=90.00
Positions (direct):
Zr 0.000 0.000 0.000
Co 0.500 0.500 0.500
Sb 0.000 0.500 0.500
Sb 0.500 0.000 0.500
I 0.500 0.500 0.000



Short version: x is the most stable of them.



## w
# ScCoI2

A relaxed ScCoI2 crystal (GGA-PBE, Alexandria via LeMat-Bulk).

Unit cell a=5.038 b=5.038 c=5.038 alpha=60.00 beta=60.00 gamma=60.00
Positions (direct):
Sc 0.000 0.000 0.000
Co 0.500 0.500 0.500
I 0.250 0.250 0.250
I 0.750 0.750 0.750



## x
# ScCoI2

A relaxed ScCoI2 crystal (GGA-PBE, Alexandria via LeMat-Bulk).

Unit cell a=7.395 b=7.395 c=7.395 alpha=130.60 beta=130.60 gamma=72.46
Positions (direct):
Sc 0.000 0.000 0.000
Sc 0.750 0.250 0.500
Co 0.250 0.750 0.500
Co 0.500 0.500 0.000
I 0.173 0.625 0.048
I 0.375 0.423 0.548
I 0.577 0.125 0.952
I 0.875 0.827 0.452



Short version: x is the most stable of them.